Below is AlCoAg2 at its PBEsol-relaxed geometry, with properties calculated at the meta-GGA SCAN level.

Cell lengths 3.8588, 3.8588, 4.7266 Å; angles 114.09, 114.09, 90.00 degrees
Site moments in Bohr magnetons follow the coordinates.
Element x y z (fractional)
Co 0.0000 0.0000 0.0000  1.74
Al 0.5000 0.5000 0.0000  -0.01
Ag 0.2500 0.7500 0.5000  0.00
Ag 0.7500 0.2500 0.5000  0.00

Properties
size of the total moment = 1.7 μB per cell
DOS(E_F) = 0.58 states/eV per atom
calculated density = 8.716 g/cm³
E_form = 46 kJ/mol of formula units


Below is Y2ScMn at its PBEsol-relaxed geometry, with properties calculated at the meta-GGA SCAN level.

Cell lengths 4.0347, 4.8485, 4.8485 Å; angles 90.00, 90.00, 90.00 degrees
Site moments in Bohr magnetons follow the coordinates.
Element x y z (fractional)
Mn 0.5000 0.5000 0.5000  3.98
Y 0.0000 0.5000 0.0000  -0.30
Y 0.0000 0.0000 0.5000  -0.30
Sc 0.5000 0.0000 0.0000  -0.37

Properties
size of the total moment = 2.8 μB per cell
DOS(E_F) = 0.84 states/eV per atom
calculated density = 4.862 g/cm³
E_form = 11 kJ/mol of formula units
energy above the most stable polymorph in this dataset = 32.5 meV per atom


Below is Sr2TaTl at its PBEsol-relaxed geometry, with properties calculated at the meta-GGA SCAN level.

Cell lengths 3.3980, 5.8912, 5.8912 Å; angles 90.00, 90.00, 90.00 degrees
Site moments in Bohr magnetons follow the coordinates.
Element x y z (fractional)
Sr 0.0000 0.0000 0.5000  0.08
Sr 0.0000 0.5000 0.0000  0.08
Ta 0.5000 0.5000 0.5000  1.59
Tl 0.5000 0.0000 0.0000  -0.01

Properties
size of the total moment = 3.0 μB per cell
DOS(E_F) = 0.79 states/eV per atom
calculated density = 7.893 g/cm³
E_form = 243 kJ/mol of formula units
energy above the most stable polymorph in this dataset = 87.5 meV per atom


Below is NbSbI2N at its PBEsol-relaxed geometry, with properties calculated at the meta-GGA SCAN level.

Cell lengths 5.3598, 5.5041, 5.5041 Å; angles 90.00, 90.00, 90.00 degrees
Site moments in Bohr magnetons follow the coordinates.
Element x y z (fractional)
Sb 0.5000 0.0000 0.0000  -0.11
I 0.0000 0.0000 0.5000  0.01
I 0.0000 0.5000 0.0000  0.01
N 0.5000 0.5000 0.5000  1.89
Nb 0.0000 0.0000 0.0000  0.39

Properties
size of the total moment = 3.1 μB per cell
DOS(E_F) = 0.67 states/eV per atom
calculated density = 4.934 g/cm³
E_form (uncorrected) = 1.086 eV/atom


Below is Rb2Se5 at its PBEsol-relaxed geometry, with properties calculated at the meta-GGA SCAN level.

Cell lengths 6.6390, 7.1471, 17.9100 Å; angles 90.00, 90.00, 90.00 degrees
Element x y z (fractional)
Se 0.5957 0.2404 0.6644
Se 0.2433 0.8708 0.1495
Se 0.7433 0.6292 0.8505
Se 0.7567 0.3708 0.3505
Se 0.5257 0.1461 0.2980
Se 0.3960 0.9229 0.4853
Se 0.4043 0.7404 0.8356
Se 0.4743 0.6461 0.2020
Se 0.0735 0.6276 0.6263
Se 0.9265 0.1276 0.8737
Se 0.4265 0.3724 0.1263
Se 0.6040 0.4229 0.0147
Se 0.8960 0.5771 0.5147
Se 0.5735 0.8724 0.3737
Se 0.2567 0.1292 0.6495
Se 0.9043 0.7596 0.1644
Se 0.0957 0.2596 0.3356
Se 0.9743 0.8539 0.7980
Se 0.1040 0.0771 0.9853
Se 0.0257 0.3539 0.7020
Rb 0.4116 0.2411 0.8385
Rb 0.9116 0.2589 0.1615
Rb 0.0884 0.7589 0.3385
Rb 0.5884 0.7411 0.6615
Rb 0.6120 0.9154 0.0079
Rb 0.1120 0.5846 0.9921
Rb 0.3880 0.4154 0.4921
Rb 0.8880 0.0846 0.5079

Properties
size of the total moment = 0.0 μB per cell
calculated density = 4.422 g/cm³
E_form (uncorrected) = -0.705 eV/atom


Below is MoAuN2F at its PBEsol-relaxed geometry, with properties calculated at the meta-GGA SCAN level.

Cell lengths 3.9968, 3.9968, 4.0809 Å; angles 90.00, 90.00, 90.00 degrees
Site moments in Bohr magnetons follow the coordinates.
Element x y z (fractional)
N 0.0000 0.5000 0.0000  -0.53
N 0.5000 0.0000 0.0000  -0.53
F 0.0000 0.0000 0.5000  0.04
Mo 0.5000 0.5000 0.5000  3.54
Au 0.0000 0.0000 0.0000  -0.16

Properties
size of the total moment = 2.3 μB per cell
DOS(E_F) = 0.39 states/eV per atom
calculated density = 8.659 g/cm³
E_form (uncorrected) = 1.419 eV/atom


Below is SrMn2Cd at its PBEsol-relaxed geometry, with properties calculated at the meta-GGA SCAN level.

Cell lengths 3.8691, 4.2479, 6.4569 Å; angles 109.20, 107.43, 90.00 degrees
Site moments in Bohr magnetons follow the coordinates.
Element x y z (fractional)
Sr 0.4637 0.4637 0.9273  -0.03
Mn 0.7268 0.2268 0.4536  4.02
Mn 0.0824 0.0824 0.1647  4.00
Cd 0.2272 0.7272 0.4543  -0.10

Properties
size of the total moment = 8.1 μB per cell
DOS(E_F) = 0.58 states/eV per atom
calculated density = 5.415 g/cm³
E_form = 95 kJ/mol of formula units


Below is AlReF3 at its PBEsol-relaxed geometry, with properties calculated at the meta-GGA SCAN level.

Cell lengths 4.1573, 4.1573, 4.1573 Å; angles 90.00, 90.00, 90.00 degrees
Element x y z (fractional)
Re 0.0000 0.0000 0.0000
F 0.0000 0.5000 0.0000
F 0.5000 0.0000 0.0000
F 0.0000 0.0000 0.5000
Al 0.5000 0.5000 0.5000

Properties
size of the total moment = 0.0 μB per cell
DOS(E_F) = 0.71 states/eV per atom
calculated density = 6.244 g/cm³
E_form (uncorrected) = -0.626 eV/atom


Below is La3ScBi5 at its PBEsol-relaxed geometry, with properties calculated at the meta-GGA SCAN level.

Cell lengths 6.5104, 9.6925, 9.6925 Å; angles 120.00, 90.00, 90.00 degrees
Element x y z (fractional)
Sc 0.5000 0.0000 0.0000
Sc 0.0000 0.0000 0.0000
La 0.7500 0.6179 0.0000
La 0.7500 0.0000 0.6179
La 0.7500 0.3821 0.3821
La 0.2500 0.0000 0.3821
La 0.2500 0.6179 0.6179
La 0.2500 0.3821 0.0000
Bi 0.0000 0.6667 0.3333
Bi 0.7500 0.7386 0.7386
Bi 0.5000 0.3333 0.6667
Bi 0.0000 0.3333 0.6667
Bi 0.5000 0.6667 0.3333
Bi 0.7500 0.2614 0.0000
Bi 0.2500 0.7386 0.0000
Bi 0.7500 0.0000 0.2614
Bi 0.2500 0.2614 0.2614
Bi 0.2500 0.0000 0.7386

Properties
size of the total moment = 0.0 μB per cell
DOS(E_F) = 0.32 states/eV per atom
calculated density = 9.446 g/cm³
E_form = -899 kJ/mol of formula units


Below is SrTc2Ag at its PBEsol-relaxed geometry, with properties calculated at the meta-GGA SCAN level.

Cell lengths 3.1743, 4.5096, 5.0579 Å; angles 90.00, 90.00, 90.00 degrees
Element x y z (fractional)
Sr 0.0000 0.5000 0.5000
Ag 0.5000 0.0000 0.5000
Tc 0.5000 0.5000 0.0000
Tc 0.0000 0.0000 0.0000

Properties
size of the total moment = 0.0 μB per cell
DOS(E_F) = 0.75 states/eV per atom
calculated density = 8.979 g/cm³
E_form = 342 kJ/mol of formula units
energy above the most stable polymorph in this dataset = 537.7 meV per atom


Below is ScSi2Rh at its PBEsol-relaxed geometry, with properties calculated at the meta-GGA SCAN level.

Cell lengths 3.9977, 6.2730, 9.4662 Å; angles 90.00, 90.00, 90.00 degrees
Element x y z (fractional)
Si 0.7500 0.0453 0.1592
Si 0.2500 0.7314 0.4712
Si 0.2500 0.2314 0.0288
Si 0.7500 0.7686 0.9712
Si 0.7500 0.5453 0.3408
Si 0.7500 0.2686 0.5288
Si 0.2500 0.9547 0.8408
Si 0.2500 0.4547 0.6592
Rh 0.7500 0.9179 0.4013
Rh 0.2500 0.0821 0.5987
Rh 0.7500 0.4179 0.0987
Rh 0.2500 0.5821 0.9013
Sc 0.2500 0.7414 0.1816
Sc 0.2500 0.2414 0.3184
Sc 0.7500 0.7586 0.6816
Sc 0.7500 0.2586 0.8184

Properties
size of the total moment = 0.0 μB per cell
DOS(E_F) = 0.16 states/eV per atom
calculated density = 5.709 g/cm³
E_form (uncorrected) = -0.991 eV/atom


Below is TeAs4 at its PBEsol-relaxed geometry, with properties calculated at the meta-GGA SCAN level.

Cell lengths 5.5055, 5.5055, 5.5055 Å; angles 109.47, 109.47, 109.47 degrees
Element x y z (fractional)
As 0.0000 0.0000 0.5000
As 0.5000 0.0000 0.0000
As 0.5000 0.5000 0.5000
As 0.0000 0.5000 0.0000
Te 0.0000 0.0000 0.0000

Properties
size of the total moment = 0.0 μB per cell
DOS(E_F) = 0.59 states/eV per atom
calculated density = 5.523 g/cm³
E_form (uncorrected) = 0.769 eV/atom


Number 1: E_tot -87.31 eV/cell. Number 2: E_tot -88.07 eV/cell. Number 3: E_tot -180.97 eV/cell. Number 4: E_tot -147.74 eV/cell. Number 5: E_tot -587.21 eV/cell. Number 6: E_tot -119.07 eV/cell. Number 7: E_tot -88.21 eV/cell. Number 8: E_tot -92.60 eV/cell. Number 9: E_tot -1091.54 eV/cell. Number 10: E_tot -120.22 eV/cell. Number 11: E_tot -288.02 eV/cell. Number 12: E_tot -114.17 eV/cell.